<one>
VASP calculation (PBE-GGA) on crystalline Zn3PtBr at its relaxed geometry.

Lattice parameters (Å, degrees): 4.8974 4.8974 4.8974 90.00 90.00 90.00
Last column: nearest neighbours and their distance in Å.
Space group Pm-3m (No. 221)
Symmetry-distinct sites (fractional):
Zn (0.0000, 0.0000, 0.5000)  2 Br 2.45
Pt (0.5000, 0.5000, 0.5000)  12 Zn 3.46
Br (0.0000, 0.0000, 0.0000)  6 Zn 2.45


<two>
VASP calculation (PBE-GGA) on crystalline Zn3PtBr at its relaxed geometry.

Lattice parameters (Å, degrees): 4.9167 4.9167 4.9167 90.00 90.00 90.00
Last column: nearest neighbours and their distance in Å.
Space group Pm-3m (No. 221)
Symmetry-distinct sites (fractional):
Zn (0.0000, 0.0000, 0.5000)  2 Pt 2.46
Pt (0.0000, 0.0000, 0.0000)  6 Zn 2.46
Br (0.5000, 0.5000, 0.5000)  12 Zn 3.48


What are the relative energies? In meV/atom: <one> 1158; <two> 0.